[1]
Below is a relaxed CrIrW2 crystal, with properties calculated at the GGA-PBE level.

abc: 3.8574 3.8574 8.0440
angles: 90.00 90.00 90.00
With the nearest neighbours (Å) after each atom.
Space group I4/mmm (No. 139)
Unique sites:
Cr1 0.0000 0.0000 0.0000 (multiplicity 2)  4 Ir 2.73, 8 W 2.79
Ir1 0.0000 0.0000 0.5000 (multiplicity 2)  4 Cr 2.73, 8 W 2.79
W1 0.0000 0.5000 0.2500 (multiplicity 4)  4 W 2.73, 4 Cr 2.79, 4 Ir 2.79

Summary:
The volume comes out at 14.96 Å³/atom. The density of states at the Fermi level comes out at 0.9957 states/eV per atom. Its excess energy over the best structure of this formula in the dataset is 0.003 eV/atom. For the size of the total moment, the calculation gives 1.997 μB per formula unit. Its formation energy is 0.053 eV/atom.



[2]
Below is a relaxed CrIrW2 crystal, with properties calculated at the GGA-PBE level.

abc: 2.7039 3.9046 5.6353
angles: 90.00 90.00 90.00
With the nearest neighbours (Å) after each atom.
Space group Pmm2 (No. 25)
Unique sites:
Cr1 0.0000 0.0000 0.0000 (multiplicity 1)  4 Ir 2.70, 2 Cr 2.70, 6 W 2.71-2.93
Ir1 0.5000 0.5000 0.2278 (multiplicity 1)  6 W 2.67-2.97, 4 Cr 2.70, 2 Ir 2.70
W1 0.0000 0.0000 0.4801 (multiplicity 1)  6 W 2.70-2.83, 2 Cr 2.71-2.93, 4 Ir 2.77
W2 0.5000 0.5000 0.7546 (multiplicity 1)  2 Ir 2.67-2.97, 6 W 2.70-2.83, 4 Cr 2.75

Summary:
The volume comes out at 14.87 Å³/atom. The density of states at the Fermi level comes out at 0.9318 states/eV per atom. Its excess energy over the best structure of this formula in the dataset is 0.062 eV/atom. For the size of the total moment, the calculation gives 0.000 μB per formula unit. Its formation energy is 0.112 eV/atom.



[3]
Below is a relaxed CrIrW4 crystal, with properties calculated at the GGA-PBE level.

abc: 7.3484 7.3484 7.3484
angles: 90.00 90.00 90.00
With the nearest neighbours (Å) after each atom.
Space group F-43m (No. 216)
Unique sites:
Cr1 0.0000 0.0000 0.0000 (multiplicity 4)  12 W 3.04, 4 Ir 3.18
Ir1 0.2500 0.2500 0.2500 (multiplicity 4)  12 W 3.05, 4 Cr 3.18
W1 0.1260 0.1260 0.6260 (multiplicity 16)  6 W 2.58-2.62

Summary:
The volume comes out at 16.53 Å³/atom. The density of states at the Fermi level comes out at 0.8730 states/eV per atom. For the size of the total moment, the calculation gives 2.196 μB per formula unit. Its formation energy is 0.525 eV/atom.



[4]
Below is a relaxed CrIr4W crystal, with properties calculated at the GGA-PBE level.

abc: 9.1043 2.7268 7.6604
angles: 90.00 114.82 90.00
With the nearest neighbours (Å) after each atom.
Space group C2/m (No. 12)
Unique sites:
Cr1 0.0000 0.0000 0.0000 (multiplicity 2)  10 Ir 2.67-2.79, 2 Cr 2.73
Ir1 0.1625 0.5000 0.8382 (multiplicity 4)  3 Cr 2.67-2.79, 7 Ir 2.69-2.75, 2 W 2.75
Ir2 0.1641 0.5000 0.3250 (multiplicity 4)  2 Cr 2.68, 7 Ir 2.70-2.82, 3 W 2.75-2.78
W1 0.0000 0.0000 0.5000 (multiplicity 2)  2 W 2.73, 10 Ir 2.75-2.78

Summary:
The volume comes out at 14.38 Å³/atom. The density of states at the Fermi level comes out at 1.0640 states/eV per atom. Its excess energy over the best structure of this formula in the dataset is 0.000 eV/atom. For the size of the total moment, the calculation gives 0.492 μB per formula unit. Its formation energy is -0.165 eV/atom.



[5]
Below is a relaxed CrIrW2 crystal, with properties calculated at the GGA-PBE level.

abc: 3.5385 4.0956 8.1857
angles: 90.00 90.00 90.00
With the nearest neighbours (Å) after each atom.
Space group Cmm2 (No. 35)
Unique sites:
Cr1 0.0000 0.0000 0.0000 (multiplicity 2)  4 Ir 2.49-2.70, 4 Cr 2.71, 2 W 2.71
Ir1 0.0000 0.5000 0.2149 (multiplicity 2)  4 Cr 2.49-2.70, 4 Ir 2.71, 2 W 2.75
W1 0.0000 0.0000 0.4716 (multiplicity 2)  6 W 2.71-2.88, 4 Ir 2.75-2.93
W2 0.0000 0.5000 0.7485 (multiplicity 2)  6 W 2.71-2.88, 4 Cr 2.71-2.90

Summary:
The volume comes out at 14.83 Å³/atom. The density of states at the Fermi level comes out at 0.6252 states/eV per atom. Its excess energy over the best structure of this formula in the dataset is 0.011 eV/atom. For the size of the total moment, the calculation gives 0.000 μB per formula unit. Its formation energy is 0.060 eV/atom.



[6]
Below is a relaxed CrIrW2 crystal, with properties calculated at the GGA-PBE level.

abc: 6.2262 6.2262 6.2262
angles: 90.00 90.00 90.00
With the nearest neighbours (Å) after each atom.
Space group F-43m (No. 216)
Unique sites:
Cr1 0.0000 0.0000 0.0000 (multiplicity 4)  4 Ir 2.70, 4 W 2.70
Ir1 0.2500 0.2500 0.2500 (multiplicity 4)  4 Cr 2.70, 4 W 2.70
W1 0.0000 0.0000 0.5000 (multiplicity 4)  4 W 2.70, 4 Ir 2.70
W2 0.2500 0.2500 0.7500 (multiplicity 4)  4 Cr 2.70, 4 W 2.70

Summary:
The volume comes out at 15.08 Å³/atom. The density of states at the Fermi level comes out at 0.7253 states/eV per atom. Its excess energy over the best structure of this formula in the dataset is 0.055 eV/atom. For the size of the total moment, the calculation gives 2.655 μB per formula unit. Its formation energy is 0.105 eV/atom.



[7]
Below is a relaxed CrIrW2 crystal, with properties calculated at the GGA-PBE level.

abc: 9.1750 2.7230 4.8128
angles: 90.00 99.25 90.00
With the nearest neighbours (Å) after each atom.
Space group Cm (No. 8)
Unique sites:
Cr1 0.0000 0.0000 0.0000 (multiplicity 2)  7 W 2.66-2.81, 3 Ir 2.66-2.89, 2 Cr 2.72
Ir1 0.2342 0.5000 0.2508 (multiplicity 2)  3 Cr 2.66-2.89, 7 W 2.71-2.83, 2 Ir 2.72
W1 0.2441 0.0000 0.7682 (multiplicity 2)  3 Cr 2.66-2.79, 4 Ir 2.71-2.83, 5 W 2.72-2.91
W2 0.4814 0.0000 0.4847 (multiplicity 2)  5 W 2.72-2.91, 3 Ir 2.73-2.74, 4 Cr 2.73-2.81

Summary:
The volume comes out at 14.83 Å³/atom. The density of states at the Fermi level comes out at 0.8468 states/eV per atom. Its excess energy over the best structure of this formula in the dataset is 0.032 eV/atom. For the size of the total moment, the calculation gives 0.000 μB per formula unit. Its formation energy is 0.081 eV/atom.



[8]
Below is a relaxed CrIrW2 crystal, with properties calculated at the GGA-PBE level.

abc: 3.0652 3.0652 6.3216
angles: 90.00 90.00 90.00
With the nearest neighbours (Å) after each atom.
Space group P4mm (No. 99)
Unique sites:
Cr1 0.0000 0.0000 0.0000 (multiplicity 1)  4 W 2.53, 4 Ir 2.72
Ir1 0.5000 0.5000 0.2602 (multiplicity 1)  4 Cr 2.72, 5 W 2.72-2.94
W1 0.0000 0.0000 0.5207 (multiplicity 1)  4 Ir 2.72, 4 W 2.77, 1 Cr 3.03
W2 0.5000 0.5000 0.7944 (multiplicity 1)  4 Cr 2.53, 4 W 2.77

Summary:
The volume comes out at 14.85 Å³/atom. The density of states at the Fermi level comes out at 1.0090 states/eV per atom. Its excess energy over the best structure of this formula in the dataset is 0.078 eV/atom. For the size of the total moment, the calculation gives 0.599 μB per formula unit. Its formation energy is 0.127 eV/atom.



[9]
Below is a relaxed Cr4IrW crystal, with properties calculated at the GGA-PBE level.

abc: 6.7421 6.7421 6.7421
angles: 90.00 90.00 90.00
With the nearest neighbours (Å) after each atom.
Space group F-43m (No. 216)
Unique sites:
Cr1 0.1236 0.1236 0.1236 (multiplicity 16)  6 Cr 2.36-2.41
Ir1 0.0000 0.0000 0.5000 (multiplicity 4)  12 Cr 2.80, 4 W 2.92
W1 0.2500 0.2500 0.7500 (multiplicity 4)  12 Cr 2.79, 4 Ir 2.92

Summary:
The volume comes out at 12.77 Å³/atom. The density of states at the Fermi level comes out at 0.9218 states/eV per atom. For the size of the total moment, the calculation gives 0.000 μB per formula unit. Its formation energy is -0.037 eV/atom.



[10]
Below is a relaxed CrIrW2 crystal, with properties calculated at the GGA-PBE level.

abc: 3.8606 3.8606 7.9718
angles: 90.00 90.00 90.00
With the nearest neighbours (Å) after each atom.
Space group I-4m2 (No. 119)
Unique sites:
Cr1 0.0000 0.0000 0.0000 (multiplicity 2)  8 W 2.73-2.77, 4 Ir 2.77
Ir1 0.0000 0.5000 0.7500 (multiplicity 2)  8 W 2.73-2.77, 4 Cr 2.77
W1 0.0000 0.0000 0.5000 (multiplicity 2)  4 Cr 2.73, 4 W 2.77, 4 Ir 2.77
W2 0.0000 0.5000 0.2500 (multiplicity 2)  4 Ir 2.73, 4 W 2.77, 4 Cr 2.77

Summary:
The volume comes out at 14.85 Å³/atom. The density of states at the Fermi level comes out at 1.1488 states/eV per atom. Its excess energy over the best structure of this formula in the dataset is 0.047 eV/atom. For the size of the total moment, the calculation gives 0.632 μB per formula unit. Its formation energy is 0.096 eV/atom.



[11]
Below is a relaxed CrIrW2 crystal, with properties calculated at the GGA-PBE level.

abc: 2.7473 3.8892 5.5474
angles: 90.00 90.00 90.00
With the nearest neighbours (Å) after each atom.
Space group Pmmm (No. 47)
Unique sites:
Cr1 0.0000 0.0000 0.0000 (multiplicity 1)  8 W 2.74, 2 Cr 2.75, 2 Ir 2.77
Ir1 0.0000 0.0000 0.5000 (multiplicity 1)  2 Ir 2.75, 8 W 2.77, 2 Cr 2.77
W1 0.5000 0.5000 0.2448 (multiplicity 2)  4 W 2.72-2.83, 4 Cr 2.74, 4 Ir 2.77

Summary:
The volume comes out at 14.82 Å³/atom. The density of states at the Fermi level comes out at 0.9742 states/eV per atom. Its excess energy over the best structure of this formula in the dataset is 0.034 eV/atom. For the size of the total moment, the calculation gives 0.783 μB per formula unit. Its formation energy is 0.083 eV/atom.



[12]
Below is a relaxed CrIrW2 crystal, with properties calculated at the GGA-PBE level.

abc: 2.7287 4.3828 4.9902
angles: 90.00 96.96 90.00
With the nearest neighbours (Å) after each atom.
Space group Pm (No. 6)
Unique sites:
Cr1 0.0000 0.0000 0.0000 (multiplicity 1)  4 W 2.58-2.82, 2 Ir 2.64, 2 Cr 2.73
Ir1 0.9619 0.5000 0.2919 (multiplicity 1)  2 Cr 2.64, 7 W 2.64-2.88, 2 Ir 2.73
W1 0.3252 0.5000 0.8071 (multiplicity 1)  2 Cr 2.59, 3 Ir 2.64-2.80, 4 W 2.73-2.76
W2 0.5660 0.0000 0.5121 (multiplicity 1)  2 Cr 2.58-2.82, 4 W 2.73-2.76, 4 Ir 2.73-2.88

Summary:
The volume comes out at 14.81 Å³/atom. The density of states at the Fermi level comes out at 0.9172 states/eV per atom. Its excess energy over the best structure of this formula in the dataset is 0.004 eV/atom. For the size of the total moment, the calculation gives 0.000 μB per formula unit. Its formation energy is 0.054 eV/atom.